# 1
BeCoSiSb2: optimized geometry, GGA-PBE.

a = 4.911 Å, b = 4.911 Å, c = 4.006 Å
α = 90.00°, β = 90.00°, γ = 90.00°
Element x y z (fractional)
Be 0.000 0.000 0.000
Co 0.000 0.000 0.500
Si 0.500 0.500 0.000
Sb 0.000 0.500 0.500
Sb 0.500 0.000 0.500

Calculated values
Raw formation energy (meV/atom): 535
N(E_F) (states/eV/atom): 0.675

# 2
BeCoSbTe2: optimized geometry, GGA-PBE.

a = 5.181 Å, b = 5.181 Å, c = 4.664 Å
α = 90.00°, β = 90.00°, γ = 90.00°
Element x y z (fractional)
Be 0.000 0.000 0.000
Co 0.500 0.500 0.500
Sb 0.500 0.500 0.000
Te 0.000 0.500 0.500
Te 0.500 0.000 0.500

Calculated values
Polymorph energy (0 for the lowest one) (meV per atom): 0
Raw formation energy (meV/atom): 789
N(E_F) (states/eV/atom): 0.853

# 3
BeCoSb2Te: optimized geometry, GGA-PBE.

a = 4.787 Å, b = 4.787 Å, c = 5.091 Å
α = 90.00°, β = 90.00°, γ = 90.00°
Element x y z (fractional)
Be 0.000 0.000 0.000
Co 0.500 0.500 0.500
Sb 0.000 0.500 0.000
Sb 0.500 0.000 0.000
Te 0.000 0.000 0.500

Calculated values
Polymorph energy (0 for the lowest one) (meV per atom): 147
Raw formation energy (meV/atom): 902
N(E_F) (states/eV/atom): 1.122

# 4
BeCoSbTe2: optimized geometry, GGA-PBE.

a = 4.944 Å, b = 4.944 Å, c = 4.661 Å
α = 90.00°, β = 90.00°, γ = 90.00°
Element x y z (fractional)
Be 0.000 0.000 0.000
Co 0.500 0.500 0.500
Sb 0.000 0.000 0.500
Te 0.000 0.500 0.000
Te 0.500 0.000 0.000

Calculated values
Polymorph energy (0 for the lowest one) (meV per atom): 154
Raw formation energy (meV/atom): 943
N(E_F) (states/eV/atom): 1.021

# 5
BeCoSb2Te: optimized geometry, GGA-PBE.

a = 4.747 Å, b = 4.747 Å, c = 5.517 Å
α = 90.00°, β = 90.00°, γ = 90.00°
Element x y z (fractional)
Be 0.000 0.000 0.000
Co 0.500 0.500 0.500
Sb 0.000 0.500 0.500
Sb 0.500 0.000 0.500
Te 0.500 0.500 0.000

Calculated values
Polymorph energy (0 for the lowest one) (meV per atom): 0
Raw formation energy (meV/atom): 756
N(E_F) (states/eV/atom): 0.714

# 6
Sc6BeCo5: optimized geometry, GGA-PBE.

a = 6.990 Å, b = 6.990 Å, c = 6.279 Å
α = 90.00°, β = 90.00°, γ = 143.15°
Element x y z (fractional)
Sc 0.000 0.000 0.247
Sc 0.000 0.000 0.753
Sc 0.332 0.668 0.249
Sc 0.332 0.668 0.751
Sc 0.668 0.332 0.249
Sc 0.668 0.332 0.751
Be 0.500 0.500 0.500
Co 0.164 0.836 0.500
Co 0.167 0.833 0.000
Co 0.500 0.500 0.000
Co 0.833 0.167 0.000
Co 0.836 0.164 0.500

Calculated values
ΔH_f (0 K) (meV per atom): -301.0
N(E_F) (states/eV/atom): 0.627

# 7
ScBeCo2: optimized geometry, GGA-PBE.

a = 2.935 Å, b = 2.935 Å, c = 5.910 Å
α = 90.00°, β = 90.00°, γ = 90.00°
Element x y z (fractional)
Sc 0.000 0.000 0.000
Be 0.500 0.500 0.316
Co 0.000 0.000 0.479
Co 0.500 0.500 0.706

Calculated values
ΔH_f (0 K) (meV per atom): -82.1
N(E_F) (states/eV/atom): 0.845

# 8
Sc2BeCo: optimized geometry, GGA-PBE.

a = 7.886 Å, b = 7.886 Å, c = 7.886 Å
α = 23.31°, β = 23.31°, γ = 23.31°
Element x y z (fractional)
Sc 0.246 0.246 0.246
Sc 0.754 0.754 0.754
Be 0.000 0.000 0.000
Co 0.500 0.500 0.500

Calculated values
ΔH_f (0 K) (meV per atom): 164.8
N(E_F) (states/eV/atom): 0.744

# 9
Sc2BeCo: optimized geometry, GGA-PBE.

a = 6.191 Å, b = 6.191 Å, c = 6.191 Å
α = 35.41°, β = 35.41°, γ = 35.41°
Element x y z (fractional)
Sc 0.000 0.000 0.000
Sc 0.179 0.179 0.179
Be 0.757 0.757 0.757
Co 0.423 0.423 0.423

Calculated values
ΔH_f (0 K) (meV per atom): -148.9
N(E_F) (states/eV/atom): 0.994

# 10
ScBeCo2: optimized geometry, GGA-PBE.

a = 4.538 Å, b = 4.538 Å, c = 4.538 Å
α = 140.08°, β = 122.76°, γ = 72.05°
Element x y z (fractional)
Sc 0.000 0.000 0.000
Be 0.500 0.500 0.000
Co 0.279 0.779 0.500
Co 0.721 0.221 0.500

Calculated values
ΔH_f (0 K) (meV per atom): -45.1
N(E_F) (states/eV/atom): 1.192

# 11
ScBeCo: optimized geometry, GGA-PBE.

a = 3.806 Å, b = 3.806 Å, c = 3.293 Å
α = 90.00°, β = 90.00°, γ = 120.00°
Element x y z (fractional)
Sc 0.000 0.000 0.000
Be 0.333 0.667 0.500
Co 0.667 0.333 0.500

Calculated values
ΔH_f (0 K) (meV per atom): -197.8
Polymorph energy (0 for the lowest one) (meV per atom): 102
N(E_F) (states/eV/atom): 0.749

# 12
ScBeCo: optimized geometry, GGA-PBE.

a = 4.120 Å, b = 4.120 Å, c = 4.120 Å
α = 60.00°, β = 60.00°, γ = 60.00°
Element x y z (fractional)
Sc 0.000 0.000 0.000
Be 0.250 0.250 0.250
Co 0.750 0.750 0.750

Calculated values
ΔH_f (0 K) (meV per atom): 746.8
Polymorph energy (0 for the lowest one) (meV per atom): 1047
N(E_F) (states/eV/atom): 0.226

# 13
Sc2BeCo: optimized geometry, GGA-PBE.

a = 3.156 Å, b = 3.156 Å, c = 6.297 Å
α = 90.00°, β = 90.00°, γ = 90.00°
Element x y z (fractional)
Sc 0.000 0.000 0.244
Sc 0.000 0.000 0.756
Be 0.500 0.500 0.500
Co 0.500 0.500 0.000

Calculated values
ΔH_f (0 K) (meV per atom): -203.6
N(E_F) (states/eV/atom): 0.580

# 14
ScBe3Co: optimized geometry, GGA-PBE.

a = 3.964 Å, b = 3.964 Å, c = 3.964 Å
α = 90.00°, β = 90.00°, γ = 90.00°
Element x y z (fractional)
Sc 0.000 0.000 0.000
Be 0.000 0.500 0.500
Be 0.500 0.000 0.500
Be 0.500 0.500 0.000
Co 0.500 0.500 0.500

Calculated values
ΔH_f (0 K) (meV per atom): -33.9
Polymorph energy (0 for the lowest one) (meV per atom): 62
N(E_F) (states/eV/atom): 0.481

# 15
ScBe17Co: optimized geometry, GGA-PBE.

a = 5.551 Å, b = 5.551 Å, c = 5.551 Å
α = 82.82°, β = 82.82°, γ = 82.82°
Element x y z (fractional)
Sc 0.000 0.000 0.000
Be 0.036 0.347 0.634
Be 0.036 0.634 0.347
Be 0.206 0.682 0.682
Be 0.244 0.244 0.244
Be 0.332 0.332 0.846
Be 0.332 0.846 0.332
Be 0.347 0.036 0.634
Be 0.347 0.634 0.036
Be 0.440 0.440 0.440
Be 0.507 0.987 0.987
Be 0.634 0.036 0.347
Be 0.634 0.347 0.036
Be 0.682 0.206 0.682
Be 0.682 0.682 0.206
Be 0.846 0.332 0.332
Be 0.987 0.507 0.987
Be 0.987 0.987 0.507
Co 0.656 0.656 0.656

Calculated values
ΔH_f (0 K) (meV per atom): -101.3
N(E_F) (states/eV/atom): 0.308

# 16
Sc2Be16Co: optimized geometry, GGA-PBE.

a = 5.699 Å, b = 5.699 Å, c = 5.699 Å
α = 83.19°, β = 83.19°, γ = 83.19°
Element x y z (fractional)
Sc 0.000 0.000 0.000
Sc 0.323 0.323 0.323
Be 0.001 0.001 0.502
Be 0.001 0.502 0.001
Be 0.163 0.656 0.656
Be 0.318 0.318 0.810
Be 0.318 0.810 0.318
Be 0.374 0.657 0.940
Be 0.374 0.940 0.657
Be 0.502 0.001 0.001
Be 0.656 0.163 0.656
Be 0.656 0.656 0.163
Be 0.657 0.374 0.940
Be 0.657 0.940 0.374
Be 0.758 0.758 0.758
Be 0.810 0.318 0.318
Be 0.940 0.374 0.657
Be 0.940 0.657 0.374
Co 0.563 0.563 0.563

Calculated values
ΔH_f (0 K) (meV per atom): -215.2
N(E_F) (states/eV/atom): 0.400

# 17
ScBe9Co2: optimized geometry, GGA-PBE.

a = 7.319 Å, b = 7.319 Å, c = 7.319 Å
α = 34.08°, β = 34.08°, γ = 34.08°
Element x y z (fractional)
Sc 0.000 0.000 0.000
Be 0.083 0.592 0.592
Be 0.333 0.333 0.333
Be 0.408 0.408 0.917
Be 0.408 0.917 0.408
Be 0.500 0.500 0.500
Be 0.592 0.083 0.592
Be 0.592 0.592 0.083
Be 0.667 0.667 0.667
Be 0.917 0.408 0.408
Co 0.143 0.143 0.143
Co 0.857 0.857 0.857

Calculated values
ΔH_f (0 K) (meV per atom): -229.8
N(E_F) (states/eV/atom): 0.393

# 18
ScBeCo2: optimized geometry, GGA-PBE.

a = 3.869 Å, b = 3.869 Å, c = 3.214 Å
α = 90.00°, β = 90.00°, γ = 90.00°
Element x y z (fractional)
Sc 0.000 0.000 0.000
Be 0.500 0.500 0.000
Co 0.000 0.500 0.500
Co 0.500 0.000 0.500

Calculated values
ΔH_f (0 K) (meV per atom): -133.1
N(E_F) (states/eV/atom): 1.275

# 19
Sc2Be2Co: optimized geometry, GGA-PBE.

a = 6.033 Å, b = 6.033 Å, c = 6.033 Å
α = 143.54°, β = 143.54°, γ = 52.52°
Element x y z (fractional)
Sc 0.250 0.750 0.500
Sc 0.750 0.250 0.500
Be 0.088 0.088 0.000
Be 0.912 0.912 0.000
Co 0.500 0.500 0.000

Calculated values
ΔH_f (0 K) (meV per atom): 690.7
Polymorph energy (0 for the lowest one) (meV per atom): 709
N(E_F) (states/eV/atom): 1.268

# 20
Sc3Be4Co4: optimized geometry, GGA-PBE.

a = 5.667 Å, b = 5.667 Å, c = 5.667 Å
α = 109.47°, β = 109.47°, γ = 109.47°
Element x y z (fractional)
Sc 0.000 0.500 0.500
Sc 0.500 0.000 0.500
Sc 0.500 0.500 0.000
Be 0.000 0.000 0.772
Be 0.000 0.772 0.000
Be 0.228 0.228 0.228
Be 0.772 0.000 0.000
Co 0.000 0.000 0.407
Co 0.000 0.407 0.000
Co 0.407 0.000 0.000
Co 0.593 0.593 0.593

Calculated values
ΔH_f (0 K) (meV per atom): -182.5
N(E_F) (states/eV/atom): 0.916